## Sr4OsRu (SCAN)

Data for a crystal of Sr4OsRu relaxed with PBEsol.

```
data_Sr4OsRu
_chemical_formula_sum 'Sr16 Os4 Ru4'
_symmetry_space_group_name_H-M 'F -4 3 m'
_symmetry_Int_Tables_number 216
_symmetry_space_group_name_Hall 'F -4 2 3'
_cell_length_a 8.610
_cell_length_b 8.610
_cell_length_c 8.610
_cell_angle_alpha 90.00
_cell_angle_beta 90.00
_cell_angle_gamma 90.00
loop_
_atom_site_label
_atom_site_type_symbol
_atom_site_fract_x
_atom_site_fract_y
_atom_site_fract_z
_atom_site_occupancy
Sr1 Sr 0.125 0.125 0.125 1
Os1 Os 0.000 0.000 0.500 1
Ru1 Ru 0.250 0.250 0.750 1
```

**Fermi-level density of states**: 0.685 states/eV/atom
**DFT formation energy**: 1.74 eV per atom

---

## TaOsRu2 (SCAN)

Data for a crystal of TaOsRu2 relaxed with PBEsol.

```
data_TaOsRu2
_chemical_formula_sum 'Ta2 Os2 Ru4'
_symmetry_space_group_name_H-M 'I 4/m m m'
_symmetry_Int_Tables_number 139
_symmetry_space_group_name_Hall '-I 4 2'
_cell_length_a 3.871
_cell_length_b 3.871
_cell_length_c 7.729
_cell_angle_alpha 90.00
_cell_angle_beta 90.00
_cell_angle_gamma 90.00
loop_
_atom_site_label
_atom_site_type_symbol
_atom_site_fract_x
_atom_site_fract_y
_atom_site_fract_z
_atom_site_occupancy
Ta1 Ta 0.000 0.000 0.000 1
Os1 Os 0.000 0.000 0.500 1
Ru1 Ru 0.000 0.500 0.250 1
```

**Fermi-level density of states**: 0.977 states/eV/atom
**Energy above the most stable polymorph in this dataset**: 65 meV per atom
**DFT formation energy**: -0.15 eV per atom